No. 1
24
Lattice="6.172 0.000 0.000 -3.086 5.345 0.000 0.000 0.000 15.290" Properties=species:S:1:pos:R:3 comment="BaCu2GeS4 PBEsol relaxed" e_tot_ev_per_atom=-5.003 sg="P3_121, No. 152" formation_energy_uncorrected_ev_per_atom=-0.842 pbc="T T T"
Ba -1.747 3.026 2.548
Ba 1.339 2.319 7.645
Ba 3.494 0.000 12.742
Cu -1.574 3.429 6.292
Cu 0.903 2.267 11.389
Cu 1.512 1.916 3.902
Cu 0.671 4.993 1.195
Cu 3.757 0.351 8.999
Cu 3.989 3.078 14.095
Ge -2.187 3.787 10.194
Ge 0.899 1.558 0.000
Ge 4.373 0.000 5.097
S -1.282 2.726 11.951
S -0.430 1.781 5.125
S -1.329 4.826 0.028
S 1.757 0.518 10.165
S -0.084 5.092 6.855
S 1.366 2.871 1.758
S 3.002 0.253 3.339
S 1.804 2.619 13.532
S 1.758 4.082 10.222
S 2.656 3.564 5.068
S 4.844 1.262 15.262
S 4.452 2.473 8.436

---

No. 2
8
Lattice="2.765 0.000 0.000 0.000 4.488 0.000 0.000 0.000 9.274" Properties=species:S:1:pos:R:3 comment="FeHgRu2 PBEsol relaxed" dos_at_fermi_per_ev_cell=6.95 e_tot_ev_per_atom=-7.015 sg="Immm, No. 71" e_form_kj_per_mol_atoms=43.8 pbc="T T T"
Fe 0.000 0.000 0.000
Fe 1.383 2.244 4.637
Hg 0.000 0.000 4.637
Hg 1.383 2.244 0.000
Ru 0.000 2.244 2.603
Ru 0.000 2.244 6.671
Ru 1.383 0.000 2.034
Ru 1.383 0.000 7.240

---

No. 3
5
Lattice="5.190 0.000 0.000 0.000 5.190 0.000 0.000 0.000 5.080" Properties=species:S:1:pos:R:3 comment="GeSbTe2Rh PBEsol relaxed" dos_at_fermi_per_ev_cell=4.83 e_tot_ev_per_atom=-3.819 sg="P4/mmm, No. 123" formation_energy_uncorrected_ev_per_atom=1.118 pbc="T T T"
Ge 0.000 0.000 0.000
Sb 0.000 0.000 2.540
Te 0.000 2.595 0.000
Te 2.595 0.000 0.000
Rh 2.595 2.595 2.540

---

No. 4
16
Lattice="6.081 0.000 0.000 0.000 6.081 0.000 0.000 0.000 7.788" Properties=species:S:1:pos:R:3 comment="BAu2Cl PBEsol relaxed" dos_at_fermi_per_ev_cell=1.21 e_tot_ev_per_atom=-3.920 sg="I-42d, No. 122" formation_energy_uncorrected_ev_per_atom=0.298 pbc="T T T"
B 0.000 0.000 0.000
B 0.000 3.040 1.947
B 3.040 0.000 5.841
B 3.040 3.040 3.894
Au 1.028 1.520 0.973
Au 1.520 4.068 2.920
Au 1.520 5.053 6.814
Au 2.012 1.520 4.867
Au 4.068 4.560 4.867
Au 4.560 1.028 6.814
Au 4.560 2.012 2.920
Au 5.053 4.560 0.973
Cl 0.000 0.000 3.894
Cl 0.000 3.040 5.841
Cl 3.040 0.000 1.947
Cl 3.040 3.040 0.000

---

No. 5
8
Lattice="3.444 0.000 0.000 0.000 4.946 0.000 0.000 0.000 10.378" Properties=species:S:1:pos:R:3 comment="Tl2AsW PBEsol relaxed" dos_at_fermi_per_ev_cell=4.05 e_tot_ev_per_atom=-5.613 relative_energy_mev_per_atom=0 sg="Cmm2, No. 35" e_form_kj_per_mol_atoms=41.6 pbc="T T T"
Tl 0.000 0.000 0.000
Tl 0.000 2.473 3.023
Tl 1.722 0.000 3.023
Tl 1.722 2.473 0.000
As 0.000 0.000 6.110
As 1.722 2.473 6.110
W 0.000 2.473 7.917
W 1.722 0.000 7.917

---

No. 6
4
Lattice="3.633 0.000 0.000 0.000 3.633 0.000 0.000 0.000 5.158" Properties=species:S:1:pos:R:3 comment="Al2AsP PBEsol relaxed" dos_at_fermi_per_ev_cell=1.78 e_tot_ev_per_atom=-5.040 relative_energy_mev_per_atom=0 sg="P4/mmm, No. 123" e_form_kj_per_mol_atoms=-26.0 pbc="T T T"
Al 0.000 0.000 0.000
Al 1.816 1.816 2.579
As 0.000 0.000 2.579
P 1.816 1.816 0.000

---

No. 7
5
Lattice="6.172 0.000 0.000 0.000 6.172 0.000 0.000 0.000 6.172" Properties=species:S:1:pos:R:3 comment="K3NaB PBEsol relaxed" dos_at_fermi_per_ev_cell=5.35 e_tot_ev_per_atom=-1.595 sg="Pm-3m, No. 221" e_form_kj_per_mol_atoms=74.1 pbc="T T T"
K 0.000 0.000 3.086
K 0.000 3.086 0.000
K 3.086 0.000 0.000
Na 3.086 3.086 3.086
B 0.000 0.000 0.000

---

No. 8
5
Lattice="6.639 0.000 0.000 0.000 6.639 0.000 0.000 0.000 6.456" Properties=species:S:1:pos:R:3 comment="KRb2TaIn PBEsol relaxed" dos_at_fermi_per_ev_cell=13.18 e_tot_ev_per_atom=-2.130 sg="P4/mmm, No. 123" e_form_kj_per_mol_atoms=155.7 pbc="T T T"
K 0.000 0.000 0.000
Rb 0.000 3.319 3.228
Rb 3.319 0.000 3.228
Ta 3.319 3.319 0.000
In 0.000 0.000 3.228